(1)
# PtSeBrN2

A relaxed structure of PtSeBrN2 (PBE-GGA, Alexandria).

Cell lengths 3.7172, 3.7172, 7.8288 Å; angles 90.00, 90.00, 90.00 degrees
With the nearest neighbours (Å) after each atom.
Space group P4/mmm (No. 123)
One atom of each set of equivalent atoms:
Pt (0.0000, 0.0000, 0.0000)  4 Se 2.63
Se (0.5000, 0.5000, 0.0000)  4 Pt 2.63
Br (0.5000, 0.5000, 0.5000)  4 N 1.86
N (0.0000, 0.5000, 0.5000)  2 Br 1.86

Computed properties:
offset from the most stable computed form = 0.962 eV per atom
formation energy without anion corrections = 2.131 eV per atom



(2)
# BaIr3Os

A relaxed structure of BaIr3Os (PBE-GGA, Alexandria).

Cell lengths 4.9441, 4.9441, 4.9441 Å; angles 90.00, 90.00, 90.00 degrees
With the nearest neighbours (Å) after each atom.
Space group Pm-3m (No. 221)
One atom of each set of equivalent atoms:
Ba (0.0000, 0.0000, 0.0000)  6 Ir 2.47
Ir (0.0000, 0.0000, 0.5000)  2 Ba 2.47
Os (0.5000, 0.5000, 0.5000)  12 Ir 3.50

Computed properties:
offset from the most stable computed form = 2.804 eV per atom
formation enthalpy at 0 K = 3.67 eV per atom



(3)
# Hf2MgTc

A relaxed structure of Hf2MgTc (PBE-GGA, Alexandria).

Cell lengths 3.3299, 3.3299, 7.1055 Å; angles 90.00, 90.00, 90.00 degrees
With the nearest neighbours (Å) after each atom.
Space group P4/mmm (No. 123)
One atom of each set of equivalent atoms:
Hf (0.0000, 0.0000, 0.2169)  4 Tc 2.81, 1 Hf 3.08, 4 Mg 3.10
Mg (0.5000, 0.5000, 0.5000)  8 Hf 3.10, 4 Mg 3.33
Tc (0.5000, 0.5000, 0.0000)  8 Hf 2.81

Computed properties:
formation enthalpy at 0 K = -0.22 eV per atom



(4)
# CoTeRu2

A relaxed structure of CoTeRu2 (PBE-GGA, Alexandria).

Cell lengths 3.0292, 3.0292, 23.9732 Å; angles 90.00, 90.00, 120.00 degrees
With the nearest neighbours (Å) after each atom.
Space group R-3m (No. 166, hexagonal axes)
One atom of each set of equivalent atoms:
Co (0.0000, 0.0000, 0.0000)  6 Ru 2.58
Te (0.0000, 0.0000, 0.5000)  6 Ru 2.73, 6 Te 3.03
Ru (0.0000, 0.0000, 0.2540)  3 Co 2.58, 3 Te 2.73

Computed properties:
formation energy without anion corrections = 0.597 eV per atom